# 1
4
Lattice="0.000 3.539 3.539 3.539 0.000 3.539 3.539 3.539 0.000" Properties=species:S:1:pos:R:3 comment="PmMgScBe | Alexandria | PBE-GGA | relaxed" spacegroup=F-43m delta_e_f_mev_per_atom=99 pbc="T T T"
Pm 0.000 0.000 0.000
Mg 1.769 1.769 1.769
Sc 3.539 3.539 3.539
Be 5.308 5.308 5.308

# 2
6
Lattice="3.851 0.000 0.000 0.000 3.851 0.000 0.000 0.000 11.785" Properties=species:S:1:pos:R:3 comment="AcY2In3 | Alexandria | PBE-GGA | relaxed" spacegroup=P4/mmm delta_e_f_mev_per_atom=-471 pbc="T T T"
Ac 0.000 0.000 0.000
Y 0.000 0.000 4.058
Y 0.000 0.000 7.727
In 1.925 1.925 2.266
In 1.925 1.925 5.892
In 1.925 1.925 9.519

# 3
4
Lattice="3.299 0.000 0.000 0.000 3.299 0.000 0.000 0.000 5.789" Properties=species:S:1:pos:R:3 comment="Mn2PtSe | Alexandria | PBE-GGA | relaxed" spacegroup=P4mm raw_formation_energy_ev_per_atom=-0.032 pbc="T T T"
Mn 0.000 0.000 0.000
Mn 1.650 1.650 1.574
Pt 0.000 0.000 2.765
Se 1.650 1.650 4.770

# 4
14
Lattice="4.787 -3.653 0.000 4.787 3.653 0.000 -3.994 0.000 9.346" Properties=species:S:1:pos:R:3 comment="Hf5BiOs | Alexandria | PBE-GGA | relaxed" spacegroup=C2/c delta_e_f_mev_per_atom=234 pbc="T T T"
Hf -2.793 0.828 9.290
Hf -0.908 0.979 6.929
Hf 1.792 2.385 7.010
Hf -0.796 -0.828 4.617
Hf 1.089 -0.979 2.256
Hf 4.491 0.979 7.090
Hf 6.377 0.828 4.730
Hf 3.789 -2.385 2.337
Hf 6.489 -0.979 2.417
Hf 8.374 -0.828 0.057
Bi 3.789 0.544 2.337
Bi 1.792 -0.544 7.010
Os 0.396 1.827 4.673
Os 2.394 -1.827 0.000

# 5
6
Lattice="0.000 4.705 4.705 4.705 0.000 4.705 4.705 4.705 0.000" Properties=species:S:1:pos:R:3 comment="CaBi2 | Alexandria | PBE-GGA | relaxed" spacegroup=Fd-3m delta_e_f_mev_per_atom=-263 pbc="T T T"
Ca 1.176 1.176 1.176
Ca 8.234 8.234 8.234
Bi 4.705 2.353 2.353
Bi 2.353 4.705 2.353
Bi 2.353 2.353 4.705
Bi 4.705 4.705 4.705

# 6
5
Lattice="5.136 0.000 0.000 0.000 5.136 0.000 0.000 0.000 5.136" Properties=species:S:1:pos:R:3 comment="HgCl3F | Alexandria | PBE-GGA | relaxed" spacegroup=Pm-3m raw_formation_energy_ev_per_atom=0.074 polymorph_energy_kj_per_mol_fu=0 pbc="T T T"
Hg 0.000 0.000 0.000
Cl 0.000 0.000 2.568
Cl 0.000 2.568 0.000
Cl 2.568 0.000 0.000
F 2.568 2.568 2.568

# 7
4
Lattice="3.330 0.000 0.000 0.000 3.330 0.000 0.000 0.000 6.604" Properties=species:S:1:pos:R:3 comment="Li2ZnSb | Alexandria | PBE-GGA | relaxed" spacegroup=P4/mmm raw_formation_energy_ev_per_atom=-0.263 pbc="T T T"
Li 0.000 0.000 1.472
Li 0.000 0.000 5.132
Zn 1.665 1.665 0.000
Sb 1.665 1.665 3.302

# 8
18
Lattice="5.334 -8.915 0.000 5.334 8.915 0.000 -0.397 0.000 6.190" Properties=species:S:1:pos:R:3 comment="Tb6Pr2Er | Alexandria | PBE-GGA | relaxed" spacegroup=C2/c polymorph_energy_kj_per_mol_fu=0 delta_e_f_mev_per_atom=109 pbc="T T T"
Tb 4.042 7.315 6.153
Tb 3.474 4.324 1.502
Tb 6.031 7.315 3.133
Tb 4.429 1.381 0.044
Tb 6.996 4.324 1.593
Tb 4.231 -1.381 3.139
Tb 6.041 1.381 3.051
Tb 3.276 -4.324 4.597
Tb 5.843 -1.381 6.147
Tb 4.241 -7.315 3.058
Tb 6.797 -4.324 4.688
Tb 6.229 -7.315 0.038
Pr 2.436 1.578 3.183
Pr 2.634 -1.578 0.088
Pr 7.638 1.578 6.102
Pr 7.836 -1.578 3.007
Er 5.037 4.286 4.643
Er 5.235 -4.286 1.548

Repeat the eighth record exactly.
18
Lattice="5.334 -8.915 0.000 5.334 8.915 0.000 -0.397 0.000 6.190" Properties=species:S:1:pos:R:3 comment="Tb6Pr2Er | Alexandria | PBE-GGA | relaxed" spacegroup=C2/c polymorph_energy_kj_per_mol_fu=0 delta_e_f_mev_per_atom=109 pbc="T T T"
Tb 4.042 7.315 6.153
Tb 3.474 4.324 1.502
Tb 6.031 7.315 3.133
Tb 4.429 1.381 0.044
Tb 6.996 4.324 1.593
Tb 4.231 -1.381 3.139
Tb 6.041 1.381 3.051
Tb 3.276 -4.324 4.597
Tb 5.843 -1.381 6.147
Tb 4.241 -7.315 3.058
Tb 6.797 -4.324 4.688
Tb 6.229 -7.315 0.038
Pr 2.436 1.578 3.183
Pr 2.634 -1.578 0.088
Pr 7.638 1.578 6.102
Pr 7.836 -1.578 3.007
Er 5.037 4.286 4.643
Er 5.235 -4.286 1.548

Copy entry 4 word for word.
14
Lattice="4.787 -3.653 0.000 4.787 3.653 0.000 -3.994 0.000 9.346" Properties=species:S:1:pos:R:3 comment="Hf5BiOs | Alexandria | PBE-GGA | relaxed" spacegroup=C2/c delta_e_f_mev_per_atom=234 pbc="T T T"
Hf -2.793 0.828 9.290
Hf -0.908 0.979 6.929
Hf 1.792 2.385 7.010
Hf -0.796 -0.828 4.617
Hf 1.089 -0.979 2.256
Hf 4.491 0.979 7.090
Hf 6.377 0.828 4.730
Hf 3.789 -2.385 2.337
Hf 6.489 -0.979 2.417
Hf 8.374 -0.828 0.057
Bi 3.789 0.544 2.337
Bi 1.792 -0.544 7.010
Os 0.396 1.827 4.673
Os 2.394 -1.827 0.000